Record 1
Density functional theory data (PBE) for an optimized crystal structure of Tb2NdEu.

Cell lengths 3.5788, 3.5788, 38.0074 Å; angles 90.00, 90.00, 120.00 degrees
Space group R-3m (No. 166, hexagonal axes)
Unique sites:
Tb (0.0000, 0.0000, 0.0901) [6 per cell]
Nd (0.0000, 0.0000, 0.5000) [3 per cell]
Eu (0.0000, 0.0000, 0.0000) [3 per cell]

Results
- Excess energy over the best structure of this formula in the dataset: 0.1026 eV per atom
- Magnetic moment: 1.93 μB per atom

***

Record 2
Density functional theory data (PBE) for an optimized crystal structure of Tb2NdEu.

Cell lengths 8.212, 8.212, 8.212 Å; angles 90.00, 90.00, 90.00 degrees
Space group Fm-3m (No. 225)
Unique sites:
Tb (0.250, 0.250, 0.250) [8 per cell]
Nd (0.000, 0.000, 0.000) [4 per cell]
Eu (0.000, 0.000, 0.500) [4 per cell]

Results
- Excess energy over the best structure of this formula in the dataset: 0.0977 eV per atom
- Magnetic moment: 1.91 μB per atom

***

Record 3
Density functional theory data (PBE) for an optimized crystal structure of TbNd2Eu.

Cell lengths 5.214, 5.214, 5.183 Å; angles 90.00, 90.00, 90.00 degrees
Space group P4/mmm (No. 123)
Unique sites:
Tb (0.000, 0.000, 0.000) [1 per cell]
Nd (0.000, 0.500, 0.500) [2 per cell]
Eu (0.500, 0.500, 0.000) [1 per cell]

Results
- Excess energy over the best structure of this formula in the dataset: 0.0337 eV per atom
- Magnetic moment: 1.77 μB per atom

***

Record 4
Density functional theory data (PBE) for an optimized crystal structure of TbNdEu.

Cell lengths 3.6894, 3.6894, 9.0668 Å; angles 90.00, 90.00, 120.00 degrees
Space group P3m1 (No. 156)
Unique sites:
Tb (0.0000, 0.0000, 0.0000) [1 per cell]
Nd (0.3333, 0.6667, 0.6873) [1 per cell]
Eu (0.6667, 0.3333, 0.3386) [1 per cell]

Results
- Uncorrected energy: -6.52 eV/atom
- Magnetic moment: 2.46 μB per atom

***

Record 5
Density functional theory data (PBE) for an optimized crystal structure of TbNd2Eu.

Cell lengths 8.284, 8.284, 8.284 Å; angles 90.00, 90.00, 90.00 degrees
Space group Fm-3m (No. 225)
Unique sites:
Tb (0.000, 0.000, 0.000) [4 per cell]
Nd (0.250, 0.250, 0.250) [8 per cell]
Eu (0.000, 0.000, 0.500) [4 per cell]

Results
- Excess energy over the best structure of this formula in the dataset: 0.1021 eV per atom
- Magnetic moment: 1.99 μB per atom

***

Record 6
Density functional theory data (PBE) for an optimized crystal structure of Tb2NdEu.

Cell lengths 5.159, 5.159, 5.158 Å; angles 90.00, 90.00, 90.00 degrees
Space group P4/mmm (No. 123)
Unique sites:
Tb (0.000, 0.500, 0.000) [2 per cell]
Nd (0.000, 0.000, 0.500) [1 per cell]
Eu (0.500, 0.500, 0.500) [1 per cell]

Results
- Excess energy over the best structure of this formula in the dataset: 0.0196 eV per atom
- Magnetic moment: 1.78 μB per atom

***

Record 7
Density functional theory data (PBE) for an optimized crystal structure of TbNd2Eu.

Cell lengths 3.687, 3.687, 10.490 Å; angles 90.00, 90.00, 90.00 degrees
Space group P4/mmm (No. 123)
Unique sites:
Tb (0.000, 0.000, 0.000) [1 per cell]
Nd (0.500, 0.500, 0.235) [2 per cell]
Eu (0.000, 0.000, 0.500) [1 per cell]

Results
- Excess energy over the best structure of this formula in the dataset: 0.0000 eV per atom
- Magnetic moment: 1.84 μB per atom

***

Record 8
Density functional theory data (PBE) for an optimized crystal structure of TbNdEuTh.

Cell lengths 8.209, 8.209, 8.209 Å; angles 90.00, 90.00, 90.00 degrees
Space group F-43m (No. 216)
Unique sites:
Tb (0.000, 0.000, 0.000) [4 per cell]
Nd (0.000, 0.000, 0.500) [4 per cell]
Eu (0.250, 0.250, 0.250) [4 per cell]
Th (0.250, 0.250, 0.750) [4 per cell]

Results
- Uncorrected energy: -6.55 eV/atom
- Magnetic moment: 1.66 μB per atom

***

Record 9
Density functional theory data (PBE) for an optimized crystal structure of TbNdEuTm.

Cell lengths 8.175, 8.175, 8.175 Å; angles 90.00, 90.00, 90.00 degrees
Space group F-43m (No. 216)
Unique sites:
Tb (0.000, 0.000, 0.000) [4 per cell]
Nd (0.000, 0.000, 0.500) [4 per cell]
Eu (0.250, 0.250, 0.250) [4 per cell]
Tm (0.250, 0.250, 0.750) [4 per cell]

Results
- Uncorrected energy: -5.89 eV/atom
- Magnetic moment: 1.96 μB per atom

***

Record 10
Density functional theory data (PBE) for an optimized crystal structure of TbNdEuZn.

Cell lengths 7.726, 7.726, 7.726 Å; angles 90.00, 90.00, 90.00 degrees
Space group F-43m (No. 216)
Unique sites:
Tb (0.000, 0.000, 0.000) [4 per cell]
Nd (0.000, 0.000, 0.500) [4 per cell]
Eu (0.250, 0.250, 0.750) [4 per cell]
Zn (0.250, 0.250, 0.250) [4 per cell]

Results
- Uncorrected energy: -5.17 eV/atom
- Magnetic moment: 1.81 μB per atom

***

Record 11
Density functional theory data (PBE) for an optimized crystal structure of NdEuTc4.

Cell lengths 7.743, 7.743, 7.743 Å; angles 90.00, 90.00, 90.00 degrees
Space group F-43m (No. 216)
Unique sites:
Nd (0.000, 0.000, 0.000) [4 per cell]
Eu (0.250, 0.250, 0.250) [4 per cell]
Tc (0.125, 0.125, 0.625) [16 per cell]

Results
- Uncorrected energy: -9.28 eV/atom
- Magnetic moment: 1.13 μB per atom

***

Record 12
Density functional theory data (PBE) for an optimized crystal structure of NdEuTe.

Cell lengths 5.3749, 5.3749, 4.2491 Å; angles 90.00, 90.00, 120.00 degrees
Space group P3m1 (No. 156)
Unique sites:
Nd (0.0000, 0.0000, 0.0000) [1 per cell]
Eu (0.6667, 0.3333, 0.5004) [1 per cell]
Te (0.3333, 0.6667, 0.9975) [1 per cell]

Results
- Excess energy over the best structure of this formula in the dataset: 0.2165 eV per atom
- Magnetic moment: 2.75 μB per atom
- Uncorrected formation energy: -620 meV/atom

***

- What is the magnetic moment in the tenth record?
  1.81 μB per atom

***

- magnetic moment of number 10 (TbNdEuZn)?
  1.81 μB per atom

***

Please write out number 1 again, unchanged.
Density functional theory data (PBE) for an optimized crystal structure of Tb2NdEu.

Cell lengths 3.5788, 3.5788, 38.0074 Å; angles 90.00, 90.00, 120.00 degrees
Space group R-3m (No. 166, hexagonal axes)
Unique sites:
Tb (0.0000, 0.0000, 0.0901) [6 per cell]
Nd (0.0000, 0.0000, 0.5000) [3 per cell]
Eu (0.0000, 0.0000, 0.0000) [3 per cell]

Results
- Excess energy over the best structure of this formula in the dataset: 0.1026 eV per atom
- Magnetic moment: 1.93 μB per atom